(1)
# GGA-PBE TlInBrF, optimized geometry
data_TlInBrF
_chemical_formula_sum 'Tl4 In4 Br4 F4'
_cell_length_a 7.5662
_cell_length_b 7.5662
_cell_length_c 7.5662
_cell_angle_alpha 90.00
_cell_angle_beta 90.00
_cell_angle_gamma 90.00
_space_group_name_H-M_alt 'F -4 3 m'
_space_group_IT_number 216
_space_group_name_Hall 'F -4 2 3'
loop_
_atom_site_label
_atom_site_type_symbol
_atom_site_fract_x
_atom_site_fract_y
_atom_site_fract_z
Tl1 Tl 0.0000 0.0000 0.0000
In1 In 0.0000 0.0000 0.5000
Br1 Br 0.2500 0.2500 0.2500
F1 F 0.2500 0.2500 0.7500
# - Offset from the most stable computed form: 3.511 kcal/mol of atoms
# - DFT total energy: -50.92 eV/cell
# - E_form (uncorrected): -1020 meV/atom

(2)
# GGA-PBE La2TcSe, optimized geometry
data_La2TcSe
_chemical_formula_sum 'La2 Tc1 Se1'
_cell_length_a 5.2030
_cell_length_b 5.2030
_cell_length_c 3.6193
_cell_angle_alpha 90.00
_cell_angle_beta 90.00
_cell_angle_gamma 90.00
_space_group_name_H-M_alt 'P 4/m m m'
_space_group_IT_number 123
_space_group_name_Hall '-P 4 2'
loop_
_atom_site_label
_atom_site_type_symbol
_atom_site_fract_x
_atom_site_fract_y
_atom_site_fract_z
La1 La 0.0000 0.5000 0.0000
Tc1 Tc 0.0000 0.0000 0.5000
Se1 Se 0.5000 0.5000 0.5000
# - DFT total energy: -26.01 eV/cell
# - E_form (uncorrected): -576 meV/atom

(3)
# GGA-PBE PuMnGaOs, optimized geometry
data_PuMnGaOs
_chemical_formula_sum 'Pu4 Mn4 Ga4 Os4'
_cell_length_a 6.3963
_cell_length_b 6.3963
_cell_length_c 6.3963
_cell_angle_alpha 90.00
_cell_angle_beta 90.00
_cell_angle_gamma 90.00
_space_group_name_H-M_alt 'F -4 3 m'
_space_group_IT_number 216
_space_group_name_Hall 'F -4 2 3'
loop_
_atom_site_label
_atom_site_type_symbol
_atom_site_fract_x
_atom_site_fract_y
_atom_site_fract_z
Pu1 Pu 0.0000 0.0000 0.0000
Mn1 Mn 0.2500 0.2500 0.2500
Ga1 Ga 0.0000 0.0000 0.5000
Os1 Os 0.2500 0.2500 0.7500
# - ΔE_f: -0.0757 eV per atom
# - DFT total energy: -152.24 eV/cell

(4)
# GGA-PBE TlRe2Cl, optimized geometry
data_TlRe2Cl
_chemical_formula_sum 'Tl1 Re2 Cl1'
_cell_length_a 3.6908
_cell_length_b 3.6908
_cell_length_c 6.8185
_cell_angle_alpha 90.00
_cell_angle_beta 90.00
_cell_angle_gamma 90.00
_space_group_name_H-M_alt 'P 4/m m m'
_space_group_IT_number 123
_space_group_name_Hall '-P 4 2'
loop_
_atom_site_label
_atom_site_type_symbol
_atom_site_fract_x
_atom_site_fract_y
_atom_site_fract_z
Tl1 Tl 0.0000 0.0000 0.0000
Re1 Re 0.0000 0.5000 0.5000
Cl1 Cl 0.5000 0.5000 0.0000
# - Offset from the most stable computed form: 27.809 kcal/mol of atoms
# - DFT total energy: -23.41 eV/cell
# - E_form (uncorrected): 1426 meV/atom